Entry 1:
The following is a PBE-GGA calculation of LiYSe2 after structural relaxation, from the Alexandria database.

a = 13.2267 Å, b = 3.6873 Å, c = 3.9786 Å
α = 90.00°, β = 90.06°, γ = 90.00°
Closest atoms and distances in Å follow each position.
Space group Cm (No. 8)
Symmetry-distinct sites (fractional):
1 Li 0.0000 0.0000 0.0000 x2  5 Se 2.58-2.83
2 Y 0.2764 0.5000 0.4989 x2  6 Se 2.83-2.92
3 Se 0.1949 0.0000 0.9986 x2  1 Li 2.58
4 Se 0.4389 0.0000 0.4992 x2  4 Li 2.83, 2 Y 2.83

Results
- Total magnetic moment: 0.00 μB per cell
- DOS(E_F): 0.27 states/eV per cell
- Formation energy without anion corrections: -1.56 eV/atom

---

Entry 2:
The following is a PBE-GGA calculation of Li3AlAg2 after structural relaxation, from the Alexandria database.

a = 13.5815 Å, b = 4.5364 Å, c = 7.8169 Å
α = 90.00°, β = 125.07°, γ = 90.00°
Closest atoms and distances in Å follow each position.
Space group C2/m (No. 12)
Symmetry-distinct sites (fractional):
1 Li 0.0400 0.0000 0.2140 x4  3 Ag 2.70-2.71, 1 Al 2.81, 4 Li 2.82-2.86
2 Li 0.1262 0.5000 0.1208 x4  3 Ag 2.69-2.70, 1 Al 2.76, 4 Li 2.79-2.83
3 Li 0.2063 0.5000 0.5392 x4  2 Ag 2.71-2.72, 4 Li 2.79-2.82, 2 Al 2.81
4 Al 0.1253 0.0000 0.6377 x4  3 Ag 2.74-2.77, 5 Li 2.76-3.06, 1 Al 2.79
5 Ag 0.0381 0.5000 0.7112 x4  4 Li 2.70-2.72, 2 Al 2.77, 2 Ag 2.84-2.88
6 Ag 0.2028 0.0000 0.0481 x4  4 Li 2.69-2.71, 1 Al 2.74, 3 Ag 2.88-2.91

Results
- Total magnetic moment: 0.00 μB per cell
- Relative energy among the computed polymorphs: 74 meV/atom
- DOS(E_F): 9.86 states/eV per cell
- Formation energy: -130 meV/atom

---

Entry 3:
The following is a PBE-GGA calculation of NpPaCoRu after structural relaxation, from the Alexandria database.

a = 6.4516 Å, b = 6.4516 Å, c = 6.4516 Å
α = 90.00°, β = 90.00°, γ = 90.00°
Closest atoms and distances in Å follow each position.
Space group F-43m (No. 216)
Symmetry-distinct sites (fractional):
1 Np 0.0000 0.0000 0.0000 x4  4 Pa 2.79, 4 Co 2.79
2 Pa 0.2500 0.2500 0.2500 x4  4 Ru 2.79, 4 Np 2.79
3 Co 0.2500 0.2500 0.7500 x4  4 Ru 2.79, 4 Np 2.79
4 Ru 0.0000 0.0000 0.5000 x4  4 Pa 2.79, 4 Co 2.79

Results
- Total magnetic moment: 6.87 μB per cell
- DOS(E_F): 27.03 states/eV per cell
- Formation energy: -176 meV/atom

---

Entry 4:
The following is a PBE-GGA calculation of Ge3N2 after structural relaxation, from the Alexandria database.

a = 7.0935 Å, b = 7.0935 Å, c = 7.0935 Å
α = 90.00°, β = 90.00°, γ = 90.00°
Closest atoms and distances in Å follow each position.
Space group Pm-3m (No. 221)
Symmetry-distinct sites (fractional):
1 Ge 0.0000 0.3231 0.3231 x12  2 N 1.87
2 N 0.2226 0.2226 0.2226 x8  3 Ge 1.87

Results
- Total magnetic moment: 0.00 μB per cell
- DOS(E_F): 0.08 states/eV per cell
- Formation energy without anion corrections: 0.15 eV/atom

---

Entry 5:
The following is a PBE-GGA calculation of CdGeTe2 after structural relaxation, from the Alexandria database.

a = 6.6489 Å, b = 6.6489 Å, c = 13.5993 Å
α = 90.00°, β = 90.00°, γ = 90.00°
Closest atoms and distances in Å follow each position.
Space group I-42d (No. 122)
Symmetry-distinct sites (fractional):
1 Cd 0.0000 0.0000 0.0000 x4  4 Te 2.88
2 Ge 0.0000 0.0000 0.5000 x4  4 Te 2.92
3 Te 0.2442 0.2500 0.1250 x8  2 Cd 2.88, 2 Ge 2.92

Results
- Total magnetic moment: 0.00 μB per cell
- Relative energy among the computed polymorphs: 65 meV/atom
- DOS(E_F): 0.00 states/eV per cell
- Formation energy without anion corrections: -0.10 eV/atom

---

Entry 6:
The following is a PBE-GGA calculation of VSe2I after structural relaxation, from the Alexandria database.

a = 6.9709 Å, b = 6.9709 Å, c = 10.2415 Å
α = 90.00°, β = 90.00°, γ = 90.00°
Closest atoms and distances in Å follow each position.
Space group I-42d (No. 122)
Symmetry-distinct sites (fractional):
1 V 0.0000 0.0000 0.0000 x4  4 Se 2.33
2 Se 0.1248 0.2500 0.1250 x8  2 V 2.33
3 I 0.0000 0.0000 0.5000 x4  4 Se 3.39

Results
- Total magnetic moment: 0.56 μB per cell
- Relative energy among the computed polymorphs: 343 meV/atom
- DOS(E_F): 19.65 states/eV per cell
- Formation energy without anion corrections: -0.11 eV/atom

---

Entry 7:
The following is a PBE-GGA calculation of Dy6Fe2Ag after structural relaxation, from the Alexandria database.

a = 9.3896 Å, b = 9.6135 Å, c = 9.8367 Å
α = 90.00°, β = 90.00°, γ = 90.00°
Closest atoms and distances in Å follow each position.
Space group Immm (No. 71)
Symmetry-distinct sites (fractional):
1 Dy 0.0000 0.2126 0.2193 x8  1 Fe 2.73, 1 Ag 2.97
2 Dy 0.2049 0.5000 0.1861 x8  3 Fe 2.78-2.87
3 Dy 0.2080 0.3135 0.5000 x8  2 Fe 2.86
4 Fe 0.0000 0.3867 0.0000 x4  1 Fe 2.18
5 Fe 0.0000 0.5000 0.3906 x4  1 Fe 2.15
6 Ag 0.0000 0.0000 0.0000 x2  8 Dy 2.97-3.28
7 Ag 0.0000 0.0000 0.5000 x2  12 Dy 3.32-3.59

Results
- Total magnetic moment: 2.72 μB per cell
- DOS(E_F): 36.81 states/eV per cell
- Formation energy: -93 meV/atom

---

Entry 8:
The following is a PBE-GGA calculation of CsNbIn3 after structural relaxation, from the Alexandria database.

a = 5.5887 Å, b = 5.5887 Å, c = 5.5887 Å
α = 90.00°, β = 90.00°, γ = 90.00°
Closest atoms and distances in Å follow each position.
Space group Pm-3m (No. 221)
Symmetry-distinct sites (fractional):
1 Cs 0.0000 0.0000 0.0000 x1  12 In 3.95
2 Nb 0.5000 0.5000 0.5000 x1  6 In 2.79
3 In 0.0000 0.5000 0.5000 x3  2 Nb 2.79

Results
- Total magnetic moment: 0.00 μB per cell
- Relative energy among the computed polymorphs: 0 meV/atom
- DOS(E_F): 4.66 states/eV per cell
- Formation energy: 243 meV/atom

---

Entry 9:
The following is a PBE-GGA calculation of BeSiOs2 after structural relaxation, from the Alexandria database.

a = 5.7700 Å, b = 5.7700 Å, c = 5.7700 Å
α = 90.00°, β = 90.00°, γ = 90.00°
Closest atoms and distances in Å follow each position.
Space group Fm-3m (No. 225)
Symmetry-distinct sites (fractional):
1 Be 0.0000 0.0000 0.0000 x4  8 Os 2.50
2 Si 0.0000 0.0000 0.5000 x4  8 Os 2.50
3 Os 0.2500 0.2500 0.2500 x8  4 Be 2.50, 4 Si 2.50

Results
- Total magnetic moment: 0.00 μB per cell
- DOS(E_F): 9.53 states/eV per cell
- Formation energy without anion corrections: -0.30 eV/atom

---

Entry 10:
The following is a PBE-GGA calculation of Li2InBr after structural relaxation, from the Alexandria database.

a = 4.5367 Å, b = 4.5367 Å, c = 9.1606 Å
α = 90.00°, β = 90.00°, γ = 90.00°
Closest atoms and distances in Å follow each position.
Space group I4/mmm (No. 139)
Symmetry-distinct sites (fractional):
1 Li 0.0000 0.5000 0.2500 x4  4 Li 3.21, 4 Br 3.22, 4 In 3.22
2 In 0.0000 0.0000 0.0000 x2  4 Br 3.21, 8 Li 3.22
3 Br 0.0000 0.0000 0.5000 x2  4 In 3.21, 8 Li 3.22

Results
- Total magnetic moment: 0.00 μB per cell
- Relative energy among the computed polymorphs: 344 meV/atom
- DOS(E_F): 2.46 states/eV per cell
- Formation energy without anion corrections: -0.38 eV/atom

---

Entry 11:
The following is a PBE-GGA calculation of MgPa2Co4Ge3 after structural relaxation, from the Alexandria database.

a = 3.8732 Å, b = 3.8732 Å, c = 10.6708 Å
α = 90.00°, β = 90.00°, γ = 90.00°
Closest atoms and distances in Å follow each position.
Space group P-4m2 (No. 115)
Symmetry-distinct sites (fractional):
1 Mg 0.0000 0.0000 0.0000 x1  4 Co 2.58, 4 Ge 2.74
2 Pa 0.0000 0.5000 0.7471 x2  4 Co 2.91, 4 Ge 3.04
3 Co 0.0000 0.0000 0.5000 x1  4 Ge 2.34
4 Co 0.0000 0.5000 0.1595 x2  3 Ge 2.33-2.58, 2 Mg 2.58
5 Co 0.5000 0.5000 0.5000 x1  4 Ge 2.34
6 Ge 0.0000 0.5000 0.3775 x2  5 Co 2.33-2.34
7 Ge 0.5000 0.5000 0.0000 x1  4 Co 2.58, 4 Mg 2.74

Results
- Total magnetic moment: 0.00 μB per cell
- DOS(E_F): 11.10 states/eV per cell
- Formation energy: -439 meV/atom

---

Entry 12:
The following is a PBE-GGA calculation of NpP2IrPd2 after structural relaxation, from the Alexandria database.

a = 4.0324 Å, b = 6.7395 Å, c = 7.4448 Å
α = 90.00°, β = 90.00°, γ = 90.00°
Closest atoms and distances in Å follow each position.
Space group Pmc2_1 (No. 26)
Symmetry-distinct sites (fractional):
1 Np 0.0000 0.0667 0.0000 x2  6 P 2.96-3.14, 4 Ir 3.01-3.15, 4 Pd 3.16-3.31
2 P 0.0000 0.3392 0.3420 x2  2 Ir 2.29, 2 Pd 2.35-2.36
3 P 0.5000 0.1483 0.7185 x2  1 Ir 2.34, 3 Pd 2.47-2.58
4 Ir 0.5000 0.1936 0.2767 x2  3 P 2.29-2.34
5 Pd 0.0000 0.3784 0.6571 x2  4 P 2.35-2.58
6 Pd 0.5000 0.4215 0.9400 x2  3 P 2.47-2.68

Results
- Total magnetic moment: 7.12 μB per cell
- DOS(E_F): 21.36 states/eV per cell
- Formation energy: -541 meV/atom

---

- Number 11 is which compound?
  MgPa2Co4Ge3